This record from Alexandria via LeMat-Bulk describes a geometry-optimized KCrSi structure. The functional is PBEsol.

## Properties
* magnetization: 3.3 Bohr magnetons per cell
* raw formation energy: 1.7459 eV/atom
* Fermi-level density of states: 1.26 states/eV per atom

Cell: 4.9185 4.9185 4.9185 Å, 60.00 60.00 60.00°
Fractional coordinates of all 3 atoms:
K: 0.0000 0.0000 0.0000
Cr: 0.7500 0.7500 0.7500
Si: 0.2500 0.2500 0.2500